The following is a DFT calculation (PBE-GGA) of CsAcH6Pd2 after structural relaxation.

Cell lengths 6.7604, 6.7604, 8.4603 Å; angles 106.57, 106.57, 88.35 degrees
Positions (direct):
Cs1 0.0759 0.9241 0.7500
Cs2 0.9241 0.0759 0.2500
Ac1 0.4507 0.5493 0.2500
Ac2 0.5493 0.4507 0.7500
H1 0.0707 0.6435 0.0909
H2 0.1781 0.3389 0.7159
H3 0.3322 0.6428 0.5372
H4 0.3389 0.1781 0.2159
H5 0.3572 0.6678 0.9628
H6 0.3565 0.9293 0.4091
H7 0.6435 0.0707 0.5909
H8 0.6428 0.3322 0.0372
H9 0.6611 0.8219 0.7841
H10 0.6678 0.3572 0.4628
H11 0.8219 0.6611 0.2841
H12 0.9293 0.3565 0.9091
Pd1 0.1399 0.4993 0.9026
Pd2 0.4993 0.1399 0.4026
Pd3 0.5007 0.8601 0.5974
Pd4 0.8601 0.5007 0.0974

Output
**Size of the total moment**: 0.0 μB/cell
**Symmetry**: C2/c
**Total energy**: -3.899 eV/atom


The following is a DFT calculation (PBE-GGA) of Cs2AcHf2O7 after structural relaxation.

Cell lengths 12.6786, 12.6786, 12.6786 Å; angles 161.13, 161.13, 26.81 degrees
Positions (direct):
Cs1 0.1911 0.1911 0.0000
Cs2 0.8089 0.8089 0.0000
Ac1 0.0000 0.0000 0.0000
Hf1 0.4120 0.4120 0.0000
Hf2 0.5880 0.5880 0.0000
O1 0.0746 0.5746 0.5000
O2 0.3318 0.3318 0.0000
O3 0.4254 0.9254 0.5000
O4 0.5000 0.5000 0.0000
O5 0.5746 0.0746 0.5000
O6 0.6682 0.6682 0.0000
O7 0.9254 0.4254 0.5000

Output
**Size of the total moment**: 1.0 μB/cell
**Raw formation energy**: -34.13 eV per formula unit
**Symmetry**: I4/mmm


The following is a DFT calculation (PBE-GGA) of Cs3Ac3HfO8 after structural relaxation.

Cell lengths 8.2602, 8.2602, 8.2602 Å; angles 53.85, 53.85, 53.85 degrees
Positions (direct):
Cs1 0.0000 0.5000 0.5000
Cs2 0.5000 0.0000 0.5000
Cs3 0.5000 0.5000 0.0000
Ac1 0.0000 0.0000 0.5000
Ac2 0.0000 0.5000 0.0000
Ac3 0.5000 0.0000 0.0000
Hf1 0.5000 0.5000 0.5000
O1 0.2244 0.2244 0.2244
O2 0.2644 0.6960 0.6960
O3 0.3040 0.3040 0.7356
O4 0.3040 0.7356 0.3040
O5 0.6960 0.2644 0.6960
O6 0.6960 0.6960 0.2644
O7 0.7356 0.3040 0.3040
O8 0.7756 0.7756 0.7756

Output
**Size of the total moment**: 0.0 μB/cell
**Raw formation energy**: -40.56 eV per formula unit
**Symmetry**: R-3m


The following is a DFT calculation (PBE-GGA) of Cs4Ac3HfO8 after structural relaxation.

Cell lengths 8.2457, 8.2457, 8.2457 Å; angles 54.56, 54.56, 54.56 degrees
Positions (direct):
Cs1 0.0000 0.0000 0.0000
Cs2 0.0000 0.5000 0.5000
Cs3 0.5000 0.0000 0.5000
Cs4 0.5000 0.5000 0.0000
Ac1 0.0000 0.0000 0.5000
Ac2 0.0000 0.5000 0.0000
Ac3 0.5000 0.0000 0.0000
Hf1 0.5000 0.5000 0.5000
O1 0.2220 0.2220 0.2220
O2 0.2667 0.6961 0.6961
O3 0.3039 0.3039 0.7333
O4 0.3039 0.7333 0.3039
O5 0.6961 0.2667 0.6961
O6 0.6961 0.6961 0.2667
O7 0.7333 0.3039 0.3039
O8 0.7780 0.7780 0.7780

Output
**Size of the total moment**: 0.0 μB/cell
**Raw formation energy**: -39.25 eV per formula unit
**Symmetry**: R-3m


The following is a DFT calculation (PBE-GGA) of CsAcHfO4 after structural relaxation.

Cell lengths 6.6778, 6.6005, 8.2984 Å; angles 90.00, 106.34, 90.00 degrees
Positions (direct):
Cs1 0.1714 0.2500 0.4187
Cs2 0.8286 0.7500 0.5813
Ac1 0.3083 0.2500 0.9508
Ac2 0.6917 0.7500 0.0492
Hf1 0.2202 0.7500 0.1528
Hf2 0.7798 0.2500 0.8472
O1 0.0127 0.7500 0.9384
O2 0.0245 0.7500 0.2910
O3 0.4205 0.5271 0.1555
O4 0.4205 0.9729 0.1555
O5 0.5795 0.0271 0.8445
O6 0.5795 0.4729 0.8445
O7 0.9755 0.2500 0.7090
O8 0.9873 0.2500 0.0616

Output
**Size of the total moment**: 0.0 μB/cell
**Raw formation energy**: -20.42 eV per formula unit
**Symmetry**: P2_1/m


The following is a DFT calculation (PBE-GGA) of CsAcHfS4 after structural relaxation.

Cell lengths 7.3068, 7.1232, 9.7283 Å; angles 90.00, 107.53, 90.00 degrees
Positions (direct):
Cs1 0.2162 0.2500 0.4343
Cs2 0.7838 0.7500 0.5657
Ac1 0.2789 0.2500 0.9474
Ac2 0.7211 0.7500 0.0526
Hf1 0.2673 0.7500 0.1697
Hf2 0.7327 0.2500 0.8303
S1 0.0632 0.7500 0.9300
S2 0.0641 0.7500 0.3204
S3 0.4906 0.0040 0.1984
S4 0.4906 0.4960 0.1984
S5 0.5094 0.5040 0.8016
S6 0.5094 0.9960 0.8016
S7 0.9359 0.2500 0.6796
S8 0.9368 0.2500 0.0700

Output
**Size of the total moment**: 0.0 μB/cell
**Raw formation energy**: -12.15 eV per formula unit
**Symmetry**: P2_1/m


The following is a DFT calculation (PBE-GGA) of Cs2AcHf2S7 after structural relaxation.

Cell lengths 14.2437, 14.2437, 14.2437 Å; angles 159.79, 159.79, 28.73 degrees
Positions (direct):
Cs1 0.1861 0.1861 0.0000
Cs2 0.8139 0.8139 0.0000
Ac1 0.0000 0.0000 0.0000
Hf1 0.4051 0.4051 0.0000
Hf2 0.5949 0.5949 0.0000
S1 0.0762 0.5762 0.5000
S2 0.3199 0.3199 0.0000
S3 0.4238 0.9238 0.5000
S4 0.5000 0.5000 0.0000
S5 0.5762 0.0762 0.5000
S6 0.6801 0.6801 0.0000
S7 0.9238 0.4238 0.5000

Output
**Size of the total moment**: 0.0 μB/cell
**Raw formation energy**: -18.36 eV per formula unit
**Symmetry**: I4/mmm


The following is a DFT calculation (PBE-GGA) of Cs3Ac3HfS8 after structural relaxation.

Cell lengths 9.6238, 9.6238, 9.6238 Å; angles 53.17, 53.17, 53.17 degrees
Positions (direct):
Cs1 0.0000 0.5000 0.5000
Cs2 0.5000 0.0000 0.5000
Cs3 0.5000 0.5000 0.0000
Ac1 0.0000 0.0000 0.5000
Ac2 0.0000 0.5000 0.0000
Ac3 0.5000 0.0000 0.0000
Hf1 0.5000 0.5000 0.5000
S1 0.2316 0.2316 0.2316
S2 0.2648 0.7049 0.7049
S3 0.2951 0.2951 0.7352
S4 0.2951 0.7352 0.2951
S5 0.7049 0.2648 0.7049
S6 0.7049 0.7049 0.2648
S7 0.7352 0.2951 0.2951
S8 0.7684 0.7684 0.7684

Output
**Size of the total moment**: 0.0 μB/cell
**Raw formation energy**: -27.07 eV per formula unit
**Symmetry**: R-3m


The following is a DFT calculation (PBE-GGA) of CsAc2HfS5 after structural relaxation.

Cell lengths 8.3588, 8.3588, 8.3588 Å; angles 145.94, 126.35, 65.10 degrees
Positions (direct):
Cs1 0.0000 0.0000 0.0000
Ac1 0.2932 0.7932 0.5000
Ac2 0.7068 0.2068 0.5000
Hf1 0.5000 0.5000 0.0000
S1 0.1303 0.3595 0.7708
S2 0.4113 0.6405 0.7708
S3 0.5000 0.0000 0.5000
S4 0.5887 0.3595 0.2292
S5 0.8697 0.6405 0.2292

Output
**Size of the total moment**: 0.0 μB/cell
**Raw formation energy**: -16.76 eV per formula unit
**Symmetry**: Immm


The following is a DFT calculation (PBE-GGA) of Cs2Ac2HfSe6 after structural relaxation.

Cell lengths 7.5423, 7.5423, 8.9362 Å; angles 98.48, 98.48, 119.05 degrees
Positions (direct):
Cs1 0.1723 0.8277 0.0000
Cs2 0.8277 0.1723 0.0000
Ac1 0.3339 0.6661 0.5000
Ac2 0.6661 0.3339 0.5000
Hf1 0.0000 0.0000 0.5000
Se1 0.0635 0.3603 0.6847
Se2 0.2280 0.2280 0.3159
Se3 0.3603 0.0635 0.6847
Se4 0.6397 0.9365 0.3153
Se5 0.7720 0.7720 0.6841
Se6 0.9365 0.6397 0.3153

Output
**Size of the total moment**: 0.0 μB/cell
**Raw formation energy**: -18.24 eV per formula unit
**Symmetry**: C2/m


The following is a DFT calculation (PBE-GGA) of CsAcHfSe4 after structural relaxation.

Cell lengths 7.4710, 7.3644, 10.0704 Å; angles 90.00, 107.87, 90.00 degrees
Positions (direct):
Cs1 0.2245 0.2500 0.4366
Cs2 0.7755 0.7500 0.5634
Ac1 0.2765 0.2500 0.9497
Ac2 0.7235 0.7500 0.0503
Hf1 0.2743 0.7500 0.1720
Hf2 0.7257 0.2500 0.8280
Se1 0.0685 0.7500 0.3268
Se2 0.0696 0.7500 0.9251
Se3 0.4953 0.5092 0.7935
Se4 0.4953 0.9908 0.7935
Se5 0.5047 0.0092 0.2065
Se6 0.5047 0.4908 0.2065
Se7 0.9304 0.2500 0.0749
Se8 0.9315 0.2500 0.6732

Output
**Size of the total moment**: 0.0 μB/cell
**Raw formation energy**: -11.08 eV per formula unit
**Symmetry**: P2_1/m


The following is a DFT calculation (PBE-GGA) of Cs3Ac2HfSe6 after structural relaxation.

Cell lengths 7.6382, 7.6382, 8.7822 Å; angles 98.39, 98.39, 119.97 degrees
Positions (direct):
Cs1 0.0000 0.0000 0.0000
Cs2 0.3275 0.6725 0.0000
Cs3 0.6725 0.3275 0.0000
Ac1 0.1662 0.8338 0.5000
Ac2 0.8338 0.1662 0.5000
Hf1 0.5000 0.5000 0.5000
Se1 0.1394 0.4368 0.3112
Se2 0.2673 0.2673 0.6912
Se3 0.4368 0.1394 0.3112
Se4 0.5632 0.8606 0.6888
Se5 0.7327 0.7327 0.3088
Se6 0.8606 0.5632 0.6888

Output
**Size of the total moment**: 0.0 μB/cell
**Raw formation energy**: -18.76 eV per formula unit
**Symmetry**: C2/m